Density functional theory data (PBEsol) for crystalline BiAu3Cl at its relaxed geometry.

Results
SG = Pm-3m (221)
Raw formation energy = 0.823 eV/atom
Total moment = 0.000 μB/f.u.
Crystal system = cubic

Structure (POSCAR):
```
BiAu3Cl
1.0
-0.2060 -4.7739 -0.9083
4.0765 -0.6646 2.5687
-2.6453 -0.6525 4.0292
Au Bi Cl
3 1 1
Direct
0.0000 0.5000 0.0000
0.0000 0.0000 0.5000
0.5000 0.0000 0.0000
0.5000 0.5000 0.5000
0.0000 0.0000 0.0000
```

=====

Density functional theory data (PBEsol) for crystalline SrMg30CdO32 at its relaxed geometry.

Results
SG = P4/mmm (123)
Raw formation energy = -2.645 eV/atom
Total moment = 0.000 μB/f.u.
Crystal system = tetragonal

Structure (POSCAR):
```
SrMg30CdO32
1.0
-1.2540 7.3476 -4.2117
-5.4047 2.5813 6.1125
6.5157 3.5540 4.2604
Sr Mg Cd O
1 30 1 32
Direct
0.0000 0.0000 0.0000
0.0000 0.5000 0.0000
0.0000 0.0000 0.5000
0.5000 0.0000 0.0000
0.5000 0.5000 0.0000
0.5000 0.0000 0.5000
0.5000 0.5000 0.5000
0.0000 0.2528 0.2528
0.0000 0.7472 0.2528
0.0000 0.2528 0.7472
0.0000 0.7472 0.7472
0.5000 0.2504 0.2504
0.5000 0.7496 0.2504
0.5000 0.2504 0.7496
0.5000 0.7496 0.7496
0.2551 0.2549 0.0000
0.2551 0.7451 0.0000
0.2530 0.2484 0.5000
0.2530 0.7516 0.5000
0.7449 0.2549 0.0000
0.7449 0.7451 0.0000
0.7470 0.2484 0.5000
0.7470 0.7516 0.5000
0.2551 0.0000 0.2549
0.2530 0.5000 0.2484
0.2551 0.0000 0.7451
0.2530 0.5000 0.7516
0.7449 0.0000 0.2549
0.7470 0.5000 0.2484
0.7449 0.0000 0.7451
0.7470 0.5000 0.7516
0.0000 0.5000 0.5000
0.2700 0.0000 0.0000
0.2553 0.5000 0.0000
0.2553 0.0000 0.5000
0.2644 0.5000 0.5000
0.7300 0.0000 0.0000
0.7447 0.5000 0.0000
0.7447 0.0000 0.5000
0.7356 0.5000 0.5000
0.2496 0.2502 0.2502
0.2496 0.7498 0.2502
0.2496 0.2502 0.7498
0.2496 0.7498 0.7498
0.7504 0.2502 0.2502
0.7504 0.7498 0.2502
0.7504 0.2502 0.7498
0.7504 0.7498 0.7498
0.0000 0.2689 0.0000
0.0000 0.7311 0.0000
0.0000 0.2395 0.5000
0.0000 0.7605 0.5000
0.5000 0.2531 0.0000
0.5000 0.7469 0.0000
0.5000 0.2490 0.5000
0.5000 0.7510 0.5000
0.0000 0.0000 0.2689
0.0000 0.5000 0.2395
0.0000 0.0000 0.7311
0.0000 0.5000 0.7605
0.5000 0.0000 0.2531
0.5000 0.5000 0.2490
0.5000 0.0000 0.7469
0.5000 0.5000 0.7510
```